(1)
This record from the Alexandria database describes an optimized crystal structure of BeSiTc2Pb. The functional is GGA-PBE.

## Properties
Calculated total energy, eV/f.u.: -30.2
Space-group type: P4/mmm, No. 123
ΔE_f (raw), eV per atom: 0.686
N(E_F), states/eV/cell: 4.10

Cell lengths 4.587, 4.587, 4.041 Å; angles 90.00, 90.00, 90.00 degrees
Atoms (fractional coordinates):
Be (0.000, 0.000, 0.000)
Si (0.000, 0.000, 0.500)
Tc (0.000, 0.500, 0.500)
Tc (0.500, 0.000, 0.500)
Pb (0.500, 0.500, 0.000)

***

(2)
This record from the Alexandria database describes an optimized crystal structure of Er3InPd4. The functional is GGA-PBE.

## Properties
Formation enthalpy at 0 K, eV/atom: -0.87
Calculated total energy, eV/f.u.: -44.1
Space-group type: P4/mmm, No. 123
N(E_F), states/eV/cell: 2.69

Cell lengths 4.859, 4.859, 6.852 Å; angles 90.00, 90.00, 90.00 degrees
Atoms (fractional coordinates):
Er (0.000, 0.000, 0.000)
Er (0.000, 0.000, 0.500)
Er (0.500, 0.500, 0.000)
In (0.500, 0.500, 0.500)
Pd (0.000, 0.500, 0.246)
Pd (0.000, 0.500, 0.754)
Pd (0.500, 0.000, 0.246)
Pd (0.500, 0.000, 0.754)

***

(3)
This record from the Alexandria database describes an optimized crystal structure of Sm3Tl3Cd2. The functional is GGA-PBE.

## Properties
Formation enthalpy at 0 K, eV/atom: -0.19
Calculated total energy, eV/f.u.: -24.6
Space-group type: P6_3/mcm, No. 193
Energy above the lowest structure with this stoichiometry, eV per atom: 0.099
N(E_F), states/eV/cell: 12.07

Cell lengths 9.128, 9.128, 6.229 Å; angles 90.00, 90.00, 120.00 degrees
Atoms (fractional coordinates):
Sm (0.000, 0.252, 0.250)
Sm (0.000, 0.748, 0.750)
Sm (0.252, 0.000, 0.250)
Sm (0.252, 0.252, 0.750)
Sm (0.748, 0.000, 0.750)
Sm (0.748, 0.748, 0.250)
Tl (0.000, 0.393, 0.750)
Tl (0.000, 0.607, 0.250)
Tl (0.393, 0.000, 0.750)
Tl (0.393, 0.393, 0.250)
Tl (0.607, 0.000, 0.250)
Tl (0.607, 0.607, 0.750)
Cd (0.333, 0.667, 0.000)
Cd (0.333, 0.667, 0.500)
Cd (0.667, 0.333, 0.000)
Cd (0.667, 0.333, 0.500)

***

(4)
This record from the Alexandria database describes an optimized crystal structure of TiHgAu2. The functional is GGA-PBE.

## Properties
Formation enthalpy at 0 K, eV/atom: -0.09
Calculated total energy, eV/f.u.: -15.1
Space-group type: R-3m, No. 166
N(E_F), states/eV/cell: 3.19

Cell lengths 9.398, 9.398, 9.398 Å; angles 19.04, 19.04, 19.04 degrees
Atoms (fractional coordinates):
Ti (0.000, 0.000, 0.000)
Hg (0.500, 0.500, 0.500)
Au (0.258, 0.258, 0.258)
Au (0.742, 0.742, 0.742)

***

(5)
This record from the Alexandria database describes an optimized crystal structure of PrSm3Er3. The functional is GGA-PBE.

## Properties
Formation enthalpy at 0 K, eV/atom: 0.23
Calculated total energy, eV/f.u.: -31.0
Space-group type: R3m, No. 160
Energy above the lowest structure with this stoichiometry, eV per atom: 0.032
N(E_F), states/eV/cell: 10.43

Cell lengths 6.359, 6.359, 6.359 Å; angles 102.87, 102.87, 102.87 degrees
Atoms (fractional coordinates):
Pr (0.000, 0.000, 0.000)
Sm (0.054, 0.414, 0.414)
Sm (0.414, 0.054, 0.414)
Sm (0.414, 0.414, 0.054)
Er (0.454, 0.856, 0.856)
Er (0.856, 0.454, 0.856)
Er (0.856, 0.856, 0.454)

***

(6)
This record from the Alexandria database describes an optimized crystal structure of Ac4CoI5. The functional is GGA-PBE.

## Properties
Calculated total energy, eV/f.u.: -42.1
Space-group type: C2/m, No. 12
ΔE_f (raw), eV per atom: -1.086
N(E_F), states/eV/cell: 5.30

Cell lengths 10.719, 10.719, 9.619 Å; angles 103.56, 103.56, 23.43 degrees
Atoms (fractional coordinates):
Ac (0.001, 0.001, 0.298)
Ac (0.354, 0.354, 0.415)
Ac (0.646, 0.646, 0.585)
Ac (0.999, 0.999, 0.702)
Co (0.500, 0.500, 0.500)
I (0.167, 0.167, 0.860)
I (0.176, 0.176, 0.331)
I (0.500, 0.500, 0.000)
I (0.824, 0.824, 0.669)
I (0.833, 0.833, 0.140)